# 1
Below is an optimized crystal structure of Nd5Er2Tm2, with properties calculated at the PBE level.

The structure in POSCAR format:
```
Nd5Er2Tm2
1.0
12.858 0.000 0.000
0.000 6.204 0.000
-6.429 -3.102 7.552
Nd Er Tm
10 4 4
direct
0.252 0.745 0.902
0.748 0.842 0.098
0.150 0.245 0.902
0.850 0.342 0.098
0.328 0.096 0.288
0.672 0.808 0.712
0.459 0.596 0.288
0.541 0.308 0.712
0.074 0.793 0.500
0.926 0.293 0.500
0.000 0.886 0.000
0.500 0.386 0.000
0.194 0.269 0.500
0.806 0.769 0.500
0.185 0.584 0.271
0.815 0.313 0.729
0.586 0.084 0.271
0.414 0.813 0.729
```

Calculated formation energy ... 0.177 eV/atom
VASP energy ... -4.4798 eV/atom
Space-group type ... Ima2 (46)
Energy relative to the lowest polymorph listed for this composition ... 1.41 eV/f.u.

***

# 2
Below is an optimized crystal structure of HfAs3Pd, with properties calculated at the PBE level.

The structure in POSCAR format:
```
HfAs3Pd
1.0
5.085 0.000 0.000
0.000 5.085 0.000
0.000 0.000 5.085
As Hf Pd
3 1 1
direct
0.000 0.500 0.000
0.000 0.000 0.500
0.500 0.000 0.000
0.000 0.000 0.000
0.500 0.500 0.500
```

Calculated formation energy ... 0.446 eV/atom
VASP energy ... -5.3727 eV/atom
Space-group type ... Pm-3m (221)
Energy relative to the lowest polymorph listed for this composition ... 0.00 eV/f.u.

***

# 3
Below is an optimized crystal structure of PuMg2Bi, with properties calculated at the PBE level.

The structure in POSCAR format:
```
PuMg2Bi
1.0
-2.891 -1.470 -0.663
-0.055 -2.895 -1.605
-0.435 -7.191 9.572
Mg Bi Pu
2 1 1
direct
0.089 0.089 0.733
0.911 0.911 0.267
0.500 0.500 0.500
0.000 0.000 0.000
```

Calculated formation energy ... 0.234 eV/atom
VASP energy ... -5.1170 eV/atom
Space-group type ... R-3m (166)
Energy relative to the lowest polymorph listed for this composition ... 1.64 eV/f.u.

***

# 4
Below is an optimized crystal structure of Cr2ReOs2, with properties calculated at the PBE level.

The structure in POSCAR format:
```
Cr2ReOs2
1.0
7.152 0.000 0.000
0.000 7.152 0.000
0.000 0.000 2.723
Re Os Cr
2 4 4
direct
0.000 0.000 0.000
0.500 0.500 0.000
0.369 0.869 0.000
0.869 0.631 0.000
0.631 0.131 0.000
0.131 0.369 0.000
0.167 0.667 0.500
0.667 0.833 0.500
0.833 0.333 0.500
0.333 0.167 0.500
```

Calculated formation energy ... 0.269 eV/atom
VASP energy ... -10.5622 eV/atom
Space-group type ... P4/mbm (127)
Energy relative to the lowest polymorph listed for this composition ... 0.00 eV/f.u.

***

# 5
Below is an optimized crystal structure of TbPm5Ho5, with properties calculated at the PBE level.

The structure in POSCAR format:
```
TbPm5Ho5
1.0
-4.008 -4.192 1.884
5.805 -0.286 1.844
-2.619 6.672 9.276
Tb Pm Ho
1 5 5
direct
0.333 0.667 0.000
0.667 0.333 0.154
0.667 0.333 0.846
0.333 0.667 0.317
0.333 0.667 0.683
0.000 0.000 0.000
0.334 0.167 0.500
0.000 0.000 0.266
0.833 0.666 0.500
0.833 0.167 0.500
0.000 0.000 0.734
```

Calculated formation energy ... 0.298 eV/atom
VASP energy ... -4.3631 eV/atom
Space-group type ... P-6m2 (187)

***

# 6
Below is an optimized crystal structure of Nb7As4, with properties calculated at the PBE level.

The structure in POSCAR format:
```
Nb7As4
1.0
-3.394 -2.771 -6.643
-0.185 -4.264 -6.716
-5.736 -12.519 3.873
Nb As
14 8
direct
0.000 0.000 0.000
0.500 0.500 0.500
0.569 0.569 0.826
0.431 0.431 0.174
0.804 0.804 0.309
0.196 0.196 0.691
0.788 0.788 0.800
0.212 0.212 0.200
0.664 0.664 0.030
0.336 0.336 0.970
0.999 0.999 0.662
0.001 0.001 0.338
0.822 0.822 0.544
0.178 0.178 0.456
0.827 0.827 0.110
0.173 0.173 0.890
0.629 0.629 0.599
0.371 0.371 0.401
0.629 0.629 0.334
0.371 0.371 0.666
0.936 0.936 0.848
0.064 0.064 0.152
```

Calculated formation energy ... -0.574 eV/atom
VASP energy ... -8.6728 eV/atom
Space-group type ... C2/m (12)

***

# 7
Below is an optimized crystal structure of Pm2Sm5Ho2, with properties calculated at the PBE level.

The structure in POSCAR format:
```
Pm2Sm5Ho2
1.0
-2.398 1.815 -1.798
-7.558 -7.005 6.425
-3.725 2.505 7.498
Pm Sm Ho
2 5 2
direct
0.398 0.796 0.870
0.602 0.204 0.130
0.220 0.440 0.208
0.780 0.560 0.792
0.057 0.113 0.556
0.943 0.887 0.444
0.000 0.000 0.000
0.178 0.355 0.676
0.822 0.645 0.324
```

Calculated formation energy ... 0.145 eV/atom
VASP energy ... -4.5494 eV/atom
Space-group type ... C2/m (12)
Energy relative to the lowest polymorph listed for this composition ... 0.00 eV/f.u.

***

# 8
Below is an optimized crystal structure of Zn2Cu12Pt, with properties calculated at the PBE level.

The structure in POSCAR format:
```
Zn2Cu12Pt
1.0
-2.132 4.255 1.240
-3.006 -3.739 -1.081
0.031 -5.170 17.796
Zn Cu Pt
4 24 2
direct
0.500 0.000 0.259
0.000 0.500 0.259
0.000 0.500 0.741
0.500 0.000 0.741
0.500 0.500 0.804
0.000 0.000 0.804
0.750 0.750 0.922
0.250 0.750 0.875
0.000 0.000 0.323
0.250 0.750 0.125
0.750 0.250 0.601
0.500 0.500 0.323
0.250 0.250 0.922
0.750 0.750 0.078
0.250 0.250 0.564
0.750 0.250 0.399
0.000 0.000 0.677
0.250 0.250 0.436
0.250 0.250 0.078
0.750 0.750 0.436
0.750 0.750 0.564
0.000 0.000 0.196
0.250 0.750 0.601
0.500 0.500 0.677
0.750 0.250 0.875
0.500 0.500 0.196
0.250 0.750 0.399
0.750 0.250 0.125
0.500 0.000 0.000
0.000 0.500 0.000
```

Calculated formation energy ... 0.081 eV/atom
VASP energy ... -3.7684 eV/atom
Space-group type ... Pmmm (47)

***

# 9
Below is an optimized crystal structure of Zr2WSe, with properties calculated at the PBE level.

The structure in POSCAR format:
```
Zr2WSe
1.0
4.799 0.017 0.000
-0.927 4.709 0.000
0.000 0.000 3.369
Se W Zr
1 1 2
direct
0.500 0.000 0.500
0.000 0.500 0.500
0.000 0.000 0.000
0.500 0.500 0.000
```

VASP energy ... -8.6169 eV/atom
Space-group type ... Cmmm (65)
Energy relative to the elements, uncorrected ... -0.233 eV per atom

***

# 10
Below is an optimized crystal structure of Al2Bi2S7, with properties calculated at the PBE level.

The structure in POSCAR format:
```
Al2Bi2S7
1.0
-3.935 1.437 4.691
-4.123 -5.374 -1.955
4.958 -1.953 4.616
Al Bi S
2 2 7
direct
0.900 0.291 0.291
0.100 0.709 0.709
0.500 0.305 0.695
0.500 0.695 0.305
0.250 0.950 0.608
0.750 0.392 0.050
0.750 0.050 0.392
0.250 0.608 0.950
0.000 0.000 0.000
0.762 0.577 0.577
0.238 0.423 0.423
```

VASP energy ... -4.4131 eV/atom
Space-group type ... C2/m (12)
Energy relative to the elements, uncorrected ... -0.400 eV per atom

***

# 11
Below is an optimized crystal structure of CsNaZnIn2, with properties calculated at the PBE level.

The structure in POSCAR format:
```
CsNaZnIn2
1.0
5.439 0.000 0.000
0.000 5.439 0.000
0.000 0.000 5.945
Cs Na Zn In
1 1 1 2
direct
0.500 0.500 0.500
0.000 0.000 0.500
0.000 0.000 0.000
0.000 0.500 0.000
0.500 0.000 0.000
```

Calculated formation energy ... 0.064 eV/atom
VASP energy ... -1.7209 eV/atom
Space-group type ... P4/mmm (123)

***

# 12
Below is an optimized crystal structure of Ti12In3Ge, with properties calculated at the PBE level.

The structure in POSCAR format:
```
Ti12In3Ge
1.0
-3.948 -2.224 -2.555
3.348 -3.151 -2.430
-1.017 -6.968 7.637
Ti In Ge
12 3 1
direct
0.500 0.000 0.378
0.500 0.000 0.874
0.748 0.500 0.000
0.755 0.500 0.500
0.000 0.753 0.259
0.000 0.753 0.741
0.500 0.000 0.126
0.500 0.000 0.622
0.252 0.500 0.000
0.245 0.500 0.500
0.000 0.247 0.259
0.000 0.247 0.741
0.500 0.500 0.251
0.500 0.500 0.749
0.000 0.000 0.000
0.000 0.000 0.500
```

Calculated formation energy ... -0.188 eV/atom
VASP energy ... -6.9108 eV/atom
Space-group type ... Pmmm (47)

***

# 13
Below is an optimized crystal structure of Sr4SeS2Cl, with properties calculated at the PBE level.

The structure in POSCAR format:
```
Sr4SeS2Cl
1.0
4.321 0.000 0.000
0.000 7.509 -0.169
0.000 2.619 6.967
Sr Se S Cl
4 1 2 1
direct
0.000 0.763 0.750
0.000 0.237 0.250
0.500 0.768 0.239
0.500 0.232 0.761
0.500 0.500 0.000
0.000 0.000 0.000
0.500 0.000 0.500
0.000 0.500 0.500
```

VASP energy ... -4.5536 eV/atom
Space-group type ... P2/m (10)
Energy relative to the elements, uncorrected ... -2.014 eV per atom

***

# 14
Below is an optimized crystal structure of Np2BiRu, with properties calculated at the PBE level.

The structure in POSCAR format:
```
Np2BiRu
1.0
-3.732 0.442 0.858
-0.938 -2.469 -2.808
0.358 -4.606 3.929
Np Ru Bi
2 1 1
direct
0.000 0.000 0.785
0.000 0.000 0.215
0.500 0.500 0.000
0.500 0.500 0.500
```

Calculated formation energy ... 0.123 eV/atom
VASP energy ... -9.6371 eV/atom
Space-group type ... P4/mmm (123)
Energy relative to the lowest polymorph listed for this composition ... 0.00 eV/f.u.

***

# 15
Below is an optimized crystal structure of YCdAs2, with properties calculated at the PBE level.

The structure in POSCAR format:
```
YCdAs2
1.0
-3.511 -0.367 2.093
-1.627 -2.135 -3.104
1.933 -4.928 2.377
Y As Cd
1 2 1
direct
0.500 0.500 0.872
0.000 0.000 0.877
0.500 0.500 0.373
0.000 0.000 0.378
```

Calculated formation energy ... -0.634 eV/atom
VASP energy ... -4.8038 eV/atom
Space-group type ... P4mm (99)

***

# 16
Below is an optimized crystal structure of K4PrU3Te8, with properties calculated at the PBE level.

The structure in POSCAR format:
```
K4PrU3Te8
1.0
-3.463 5.847 6.025
-5.116 -7.288 4.132
8.997 -1.036 -0.668
K Pr U Te
4 1 3 8
direct
0.500 0.000 0.000
0.500 0.000 0.500
0.000 0.000 0.000
0.000 0.000 0.500
0.000 0.500 0.000
0.500 0.500 0.000
0.500 0.500 0.500
0.000 0.500 0.500
0.241 0.714 0.973
0.241 0.714 0.482
0.263 0.290 0.526
0.732 0.714 0.973
0.268 0.286 0.027
0.737 0.710 0.474
0.759 0.286 0.518
0.759 0.286 0.027
```

VASP energy ... -5.2442 eV/atom
Space-group type ... R-3m (166)
Energy relative to the elements, uncorrected ... -0.984 eV per atom

***

# 17
Below is an optimized crystal structure of Dy3Mn5S12, with properties calculated at the PBE level.

The structure in POSCAR format:
```
Dy3Mn5S12
1.0
-9.460 -1.906 -8.582
0.407 -9.939 8.237
-2.246 10.913 6.530
Dy Mn S
12 20 48
direct
0.750 0.375 0.125
0.875 0.750 0.125
0.375 0.750 0.625
0.250 0.125 0.375
0.875 0.125 0.250
0.375 0.625 0.250
0.625 0.375 0.750
0.125 0.875 0.750
0.750 0.875 0.625
0.625 0.250 0.375
0.125 0.250 0.875
0.250 0.625 0.875
0.125 0.375 0.250
0.000 0.500 0.000
0.000 0.000 0.000
0.375 0.250 0.125
0.500 0.000 0.500
0.500 0.500 0.000
0.125 0.750 0.375
0.750 0.125 0.875
0.750 0.625 0.375
0.375 0.125 0.750
0.625 0.875 0.250
0.500 0.500 0.500
0.500 0.000 0.000
0.000 0.000 0.500
0.250 0.375 0.625
0.250 0.875 0.125
0.000 0.500 0.500
0.875 0.250 0.625
0.625 0.750 0.875
0.875 0.625 0.750
0.706 0.123 0.032
0.326 0.532 0.409
0.968 0.377 0.294
0.532 0.206 0.123
0.584 0.706 0.674
0.968 0.591 0.174
0.326 0.794 0.416
0.091 0.916 0.123
0.591 0.968 0.674
0.706 0.584 0.174
0.794 0.468 0.377
0.826 0.909 0.032
0.123 0.706 0.532
0.377 0.409 0.084
0.084 0.909 0.377
0.416 0.123 0.591
0.084 0.174 0.206
0.468 0.674 0.091
0.826 0.916 0.294
0.123 0.416 0.091
0.377 0.968 0.794
0.591 0.623 0.416
0.909 0.826 0.532
0.794 0.326 0.916
0.409 0.377 0.584
0.091 0.174 0.468
0.206 0.674 0.084
0.174 0.084 0.706
0.623 0.032 0.206
0.877 0.584 0.909
0.532 0.326 0.909
0.584 0.877 0.409
0.916 0.826 0.794
0.916 0.091 0.623
0.877 0.294 0.468
0.174 0.091 0.968
0.623 0.591 0.916
0.409 0.032 0.326
0.294 0.416 0.826
0.206 0.532 0.623
0.909 0.084 0.877
0.674 0.206 0.584
0.468 0.794 0.877
0.032 0.409 0.826
0.416 0.294 0.326
0.032 0.623 0.706
0.674 0.468 0.591
0.294 0.877 0.968
```

VASP energy ... -6.5216 eV/atom
Space-group type ... Ia-3d (230)
Energy relative to the elements, uncorrected ... -1.062 eV per atom

***

# 18
Below is an optimized crystal structure of Pm3Tm6Cd, with properties calculated at the PBE level.

The structure in POSCAR format:
```
Pm3Tm6Cd
1.0
5.960 0.000 0.000
0.000 10.838 -1.562
0.000 -3.941 10.216
Pm Tm Cd
6 12 2
direct
0.460 0.942 0.727
0.960 0.727 0.942
0.054 0.390 0.610
0.554 0.610 0.390
0.960 0.058 0.273
0.460 0.273 0.058
0.027 0.711 0.612
0.527 0.612 0.711
0.385 0.555 0.978
0.885 0.978 0.555
0.451 0.942 0.058
0.602 0.281 0.719
0.102 0.719 0.281
0.951 0.058 0.942
0.385 0.022 0.445
0.885 0.445 0.022
0.027 0.388 0.289
0.527 0.289 0.388
0.136 0.220 0.780
0.636 0.780 0.220
```

Calculated formation energy ... 0.060 eV/atom
VASP energy ... -4.1396 eV/atom
Space-group type ... Cmc2_1 (36)

***

Number 1: size of the total moment 0.00 μB per formula unit. Number 2: size of the total moment 0.00 μB per formula unit. Number 3: size of the total moment 6.13 μB per formula unit. Number 4: size of the total moment 0.00 μB per formula unit. Number 5: size of the total moment 0.00 μB per formula unit. Number 6: size of the total moment 0.00 μB per formula unit. Number 7: size of the total moment 0.00 μB per formula unit. Number 8: size of the total moment 0.00 μB per formula unit. Number 9: size of the total moment 0.00 μB per formula unit. Number 10: size of the total moment 0.00 μB per formula unit. Number 11: size of the total moment 0.00 μB per formula unit. Number 12: size of the total moment 0.00 μB per formula unit. Number 13: size of the total moment 0.00 μB per formula unit. Number 14: size of the total moment 7.28 μB per formula unit. Number 15: size of the total moment 0.00 μB per formula unit. Number 16: size of the total moment 9.01 μB per formula unit. Number 17: size of the total moment 20.01 μB per formula unit. Number 18: size of the total moment 0.00 μB per formula unit.